Computed, not measured: a geometry-optimized RbMgAsH12O10 structure at the PBEsol level of DFT.

Cell lengths 6.9670, 6.1535, 11.3924 Å; angles 90.00, 90.00, 90.00 degrees
Last column: nearest neighbours and their distance in Å.
Space group Pmn2_1 (No. 31)
Unique sites:
Rb  0.0000  0.1316  0.0000 (multiplicity 2)  5 O 2.91-3.02, 4 H 3.20
Mg  0.0000  0.1267  0.6519 (multiplicity 2)  6 O 2.08-2.16
As  0.0000  0.5047  0.2822 (multiplicity 2)  4 O 1.70-1.72
H  0.0000  0.6729  0.6221 (multiplicity 2)  1 O 1.00
H  0.0000  0.7798  0.4913 (multiplicity 2)  1 O 1.01
H  0.1167  0.5114  0.7684 (multiplicity 4)  1 O 1.02
H  0.1765  0.6764  0.0814 (multiplicity 4)  1 O 1.02
H  0.1780  0.8847  0.3004 (multiplicity 4)  1 O 1.02
H  0.2054  0.2889  0.4611 (multiplicity 4)  1 O 1.01
H  0.2415  0.8722  0.7857 (multiplicity 4)  1 O 1.01
O  0.0000  0.4513  0.7252 (multiplicity 2)  2 H 1.02
O  0.0000  0.5344  0.1335 (multiplicity 2)  2 H 1.62, 1 As 1.70
O  0.0000  0.7556  0.3491 (multiplicity 2)  3 H 1.57-1.63, 1 As 1.72
O  0.0000  0.8132  0.5782 (multiplicity 2)  2 H 1.00-1.01
O  0.2034  0.3712  0.3267 (multiplicity 4)  3 H 1.59-1.62, 1 As 1.71
O  0.2055  0.0294  0.7731 (multiplicity 4)  2 H 1.01-1.02
O  0.2230  0.2276  0.5428 (multiplicity 4)  2 H 1.01-1.02

## Properties
ρ = 2.4 Mg/m³
VASP energy = -5.333 eV/atom
Size of the total moment = 0.0 μB/cell